Here is a geometry-optimized Li4AcAu3O12 structure from Alexandria. Energies are from PBE-GGA.

Cell: 7.739 7.739 7.739 Å, 90.00 90.00 90.00°
Space group Im-3 (No. 204)
One atom of each set of equivalent atoms:
Li  0.250  0.250  0.250 [8 per cell]
Ac  0.000  0.000  0.000 [2 per cell]
Au  0.000  0.000  0.500 [6 per cell]
O  0.000  0.170  0.309 [24 per cell]

Output
total DFT energy (no corrections) = -4.823 eV per atom


Here is a geometry-optimized Li3Ac3AuO8 structure from Alexandria. Energies are from PBE-GGA.

Cell: 8.871 8.120 6.105 Å, 90.00 104.61 90.00°
Space group C2/m (No. 12)
One atom of each set of equivalent atoms:
Li  0.000  0.000  0.000 [2 per cell]
Li  0.250  0.250  0.500 [4 per cell]
Ac  0.000  0.500  0.500 [2 per cell]
Ac  0.250  0.250  0.000 [4 per cell]
Au  0.000  0.000  0.500 [2 per cell]
O  0.029  0.218  0.271 [8 per cell]
O  0.228  0.500  0.800 [4 per cell]
O  0.234  0.000  0.675 [4 per cell]

Output
total DFT energy (no corrections) = -6.062 eV per atom


Here is a geometry-optimized LiAcPAu structure from Alexandria. Energies are from PBE-GGA.

Cell: 7.251 7.251 7.251 Å, 90.00 90.00 90.00°
Space group F-43m (No. 216)
One atom of each set of equivalent atoms:
Li  0.000  0.000  0.000 [4 per cell]
Ac  0.000  0.000  0.500 [4 per cell]
P  0.250  0.250  0.750 [4 per cell]
Au  0.250  0.250  0.250 [4 per cell]

Output
total DFT energy (no corrections) = -4.447 eV per atom
ΔH_f (0 K) = -0.7694 eV/atom


Here is a geometry-optimized Li2AcPbAu2 structure from Alexandria. Energies are from PBE-GGA.

Cell: 4.6795 4.6795 7.2705 Å, 90.00 90.00 120.00°
Space group P-3m1 (No. 164)
One atom of each set of equivalent atoms:
Li  0.3333  0.6667  0.1518 [2 per cell]
Ac  0.0000  0.0000  0.5000 [1 per cell]
Pb  0.0000  0.0000  0.0000 [1 per cell]
Au  0.3333  0.6667  0.7620 [2 per cell]

Output
total DFT energy (no corrections) = -3.611 eV per atom
ΔH_f (0 K) = -0.5775 eV/atom